# Nd4Ga3Pb (GGA-PBE, relaxed)
data_Nd4Ga3Pb
_chemical_formula_sum 'Nd4 Ga3 Pb1'
_cell_length_a 4.574
_cell_length_b 4.267
_cell_length_c 11.469
_cell_angle_alpha 90.00
_cell_angle_beta 90.00
_cell_angle_gamma 90.00
_space_group_name_H-M_alt 'P 1'
_space_group_IT_number 1
loop_
_space_group_symop_operation_xyz
'x,y,z'
loop_
_atom_site_label
_atom_site_type_symbol
_atom_site_fract_x
_atom_site_fract_y
_atom_site_fract_z
Pb1 Pb 0.500 0.500 0.078
Nd1 Nd 0.500 0.500 0.372
Nd2 Nd 0.000 0.500 0.853
Nd3 Nd 0.000 0.000 0.147
Nd4 Nd 0.500 0.000 0.637
Ga1 Ga 0.000 0.500 0.573
Ga2 Ga 0.000 0.000 0.428
Ga3 Ga 0.500 0.000 0.912
# Calculated formation energy (eV per formula unit): -4.596
# Symmetry: Pmm2, No. 25
# Total energy (eV/atom): -4.56
# Calculated volume (Å³/f.u.): 223.9